[1]
Li4Ca2In3: optimized geometry, PBE-GGA.

Results
ΔE_f in meV per atom: -318

abc: 8.590 4.958 9.295
angles: 90.00 90.06 90.00
Space group C2/m (No. 12)
One atom of each set of equivalent atoms:
Li  0.001  0.000  0.353
Li  0.167  0.500  0.895
Ca  0.167  0.500  0.215
In  0.000  0.000  0.000
In  0.166  0.500  0.578

---

[2]
Li3Ca4In2: optimized geometry, PBE-GGA.

Results
ΔE_f in meV per atom: -234

abc: 9.456 5.453 9.996
angles: 90.00 90.27 90.00
Space group C2/m (No. 12)
One atom of each set of equivalent atoms:
Li  0.000  0.000  0.000
Li  0.167  0.500  0.518
Ca  0.001  0.000  0.318
Ca  0.166  0.500  0.889
In  0.168  0.500  0.221

---

[3]
Li2Ca5In: optimized geometry, PBE-GGA.

Results
ΔE_f in meV per atom: -117

abc: 8.222 8.222 15.667
angles: 90.00 90.00 90.00
Space group I4/mcm (No. 140)
One atom of each set of equivalent atoms:
Li  0.118  0.382  0.000
Ca  0.000  0.000  0.000
Ca  0.171  0.329  0.348
In  0.000  0.000  0.250

---

[4]
Li5Ca2Mg2In: optimized geometry, PBE-GGA.

Results
ΔE_f in meV per atom: -42

abc: 11.116 11.116 4.038
angles: 90.00 90.00 90.00
Space group P4/mbm (No. 127)
One atom of each set of equivalent atoms:
Li  0.000  0.500  0.000
Li  0.056  0.189  0.000
Ca  0.179  0.679  0.500
Mg  0.116  0.384  0.500
In  0.000  0.000  0.500

---

[5]
LiCaMg2In4: optimized geometry, PBE-GGA.

Results
ΔE_f in meV per atom: -237

abc: 5.1091 5.1091 25.4491
angles: 90.00 90.00 120.00
Space group R-3m (No. 166, hexagonal axes)
One atom of each set of equivalent atoms:
Li  0.0000  0.0000  0.0000
Ca  0.0000  0.0000  0.5000
Mg  0.0000  0.0000  0.2491
In  0.0000  0.0000  0.1168
In  0.0000  0.0000  0.3708

---

[6]
Li2CaMgIn4: optimized geometry, PBE-GGA.

Results
ΔE_f in meV per atom: -242

abc: 5.0403 5.0403 25.5097
angles: 90.00 90.00 120.00
Space group R-3m (No. 166, hexagonal axes)
One atom of each set of equivalent atoms:
Li  0.0000  0.0000  0.2494
Ca  0.0000  0.0000  0.0000
Mg  0.0000  0.0000  0.5000
In  0.0000  0.0000  0.1258
In  0.0000  0.0000  0.3810

---

Number 1: Fermi-level density of states 3.56 states/eV/f.u., spin magnetization 0.00 μB per formula unit, calculated density 3.79 g cm⁻³. Number 2: Fermi-level density of states 4.82 states/eV/f.u., spin magnetization 0.00 μB per formula unit, calculated density 2.65 g cm⁻³. Number 3: Fermi-level density of states 7.20 states/eV/f.u., spin magnetization 0.00 μB per formula unit, calculated density 2.06 g cm⁻³. Number 4: Fermi-level density of states 5.51 states/eV/f.u., spin magnetization 0.00 μB per formula unit, calculated density 1.85 g cm⁻³. Number 5: Fermi-level density of states 3.19 states/eV/f.u., spin magnetization 0.00 μB per formula unit, calculated density 4.80 g cm⁻³. Number 6: Fermi-level density of states 3.80 states/eV/f.u., spin magnetization 0.00 μB per formula unit, calculated density 4.77 g cm⁻³.